This record from Alexandria describes an optimized crystal structure of CaFeI2O. The functional is GGA+U.

The final energy comes out at -3.572 eV per atom. The calculation puts the energy above the lowest structure with this stoichiometry at 51.0 kJ per mole of atoms.

The space group is P4/mmm (No. 123) and the conventional cell measures 6.135, 6.135 and 4.173 Å, with angles of 90.00, 90.00 and 90.00 degrees. Symmetry generates all atoms from Ca at (0.000, 0.000, 0.000), Fe at (0.500, 0.500, 0.500), I at (0.000, 0.500, 0.000) and O at (0.000, 0.000, 0.500).